No. 1
! CsCe3I9 (PBE, optimized geometry); values from VASP
! ΔE_f (raw): -1.280 eV/atom
! N(E_F): 29.9 states/eV/cell
&SYSTEM
  ibrav = 0, nat = 13, ntyp = 3
/
ATOMIC_SPECIES
Cs 132.91 Cs.upf
Ce 140.12 Ce.upf
I 126.90 I.upf
CELL_PARAMETERS angstrom
12.026 0.000 0.000
-6.013 10.414 0.000
0.000 0.000 6.321
ATOMIC_POSITIONS crystal
Cs 0.000 0.000 0.000
Ce 0.000 0.500 0.500
Ce 0.500 0.000 0.500
Ce 0.500 0.500 0.500
I 0.000 0.500 0.000
I 0.197 0.393 0.500
I 0.197 0.803 0.500
I 0.393 0.197 0.500
I 0.500 0.000 0.000
I 0.500 0.500 0.000
I 0.607 0.803 0.500
I 0.803 0.197 0.500
I 0.803 0.607 0.500


No. 2
! Cs3CeI6 (PBE, optimized geometry); values from VASP
! energy above the lowest structure with this stoichiometry: 0.00 eV per formula unit
! ΔE_f (raw): -1.487 eV/atom
! N(E_F): 8.5 states/eV/cell
&SYSTEM
  ibrav = 0, nat = 10, ntyp = 3
/
ATOMIC_SPECIES
Cs 132.91 Cs.upf
Ce 140.12 Ce.upf
I 126.90 I.upf
CELL_PARAMETERS angstrom
7.882 -4.656 0.000
7.882 4.656 0.000
-5.121 0.000 8.029
ATOMIC_POSITIONS crystal
Cs 0.000 0.000 0.000
Cs 0.244 0.244 0.721
Cs 0.756 0.756 0.279
Ce 0.500 0.500 0.500
I 0.190 0.665 0.649
I 0.285 0.285 0.166
I 0.335 0.810 0.351
I 0.665 0.190 0.649
I 0.715 0.715 0.834
I 0.810 0.335 0.351


No. 3
! CsCeI2 (PBE, optimized geometry); values from VASP
! energy above the lowest structure with this stoichiometry: 0.19 eV per formula unit
! ΔE_f (raw): -0.958 eV/atom
! N(E_F): 8.6 states/eV/cell
&SYSTEM
  ibrav = 0, nat = 4, ntyp = 3
/
ATOMIC_SPECIES
Cs 132.91 Cs.upf
Ce 140.12 Ce.upf
I 126.90 I.upf
CELL_PARAMETERS angstrom
4.051 0.000 0.000
0.000 4.051 0.000
0.000 0.000 9.092
ATOMIC_POSITIONS crystal
Cs 0.000 0.000 0.000
Ce 0.000 0.000 0.500
I 0.500 0.500 0.295
I 0.500 0.500 0.705


No. 4
! Cs2CeI8 (PBE, optimized geometry); values from VASP
! ΔE_f (raw): -1.015 eV/atom
! N(E_F): 14.7 states/eV/cell
&SYSTEM
  ibrav = 0, nat = 11, ntyp = 3
/
ATOMIC_SPECIES
Cs 132.91 Cs.upf
Ce 140.12 Ce.upf
I 126.90 I.upf
CELL_PARAMETERS angstrom
8.436 -6.167 0.000
8.436 6.167 0.000
-1.522 0.000 6.234
ATOMIC_POSITIONS crystal
Cs 0.216 0.216 0.062
Cs 0.784 0.784 0.938
Ce 0.500 0.500 0.000
I 0.009 0.009 0.260
I 0.238 0.596 0.191
I 0.344 0.344 0.641
I 0.404 0.762 0.809
I 0.596 0.238 0.191
I 0.656 0.656 0.359
I 0.762 0.404 0.809
I 0.991 0.991 0.740